No. 1
Entry from Alexandria via LeMat-Bulk: an optimized crystal structure of Ta4ZnTe (GGA-PBEsol). Values from VASP.

Output
E_form (uncorrected)   3.38 eV/f.u.

```
&SYSTEM
  ibrav = 0, nat = 6, ntyp = 3
/
ATOMIC_SPECIES
Ta 180.95 Ta.upf
Zn 65.41 Zn.upf
Te 127.60 Te.upf
ATOMIC_POSITIONS crystal
Ta 0.123 0.123 0.123
Ta 0.123 0.123 0.630
Ta 0.123 0.630 0.123
Ta 0.630 0.123 0.123
Zn 0.750 0.750 0.750
Te 0.500 0.500 0.500
CELL_PARAMETERS angstrom
0.000 3.863 3.863
3.863 0.000 3.863
3.863 3.863 0.000
```

No. 2
Entry from Alexandria via LeMat-Bulk: an optimized crystal structure of Ta2ZnTe (GGA-PBEsol). Values from VASP.

Output
E_form (uncorrected)   0.82 eV/f.u.
Energy above the lowest structure with this stoichiometry   0 meV/atom

```
&SYSTEM
  ibrav = 0, nat = 4, ntyp = 3
/
ATOMIC_SPECIES
Ta 180.95 Ta.upf
Zn 65.41 Zn.upf
Te 127.60 Te.upf
ATOMIC_POSITIONS crystal
Ta 0.245 0.245 0.000
Ta 0.755 0.755 0.000
Zn 0.000 0.500 0.500
Te 0.500 0.000 0.500
CELL_PARAMETERS angstrom
-1.685 2.401 4.399
1.685 -2.401 4.399
1.685 2.401 -4.399
```

No. 3
Entry from Alexandria via LeMat-Bulk: an optimized crystal structure of Ta2ZnTe (GGA-PBEsol). Values from VASP.

Output
E_form (uncorrected)   0.88 eV/f.u.
Energy above the lowest structure with this stoichiometry   14 meV/atom

```
&SYSTEM
  ibrav = 0, nat = 4, ntyp = 3
/
ATOMIC_SPECIES
Ta 180.95 Ta.upf
Zn 65.41 Zn.upf
Te 127.60 Te.upf
ATOMIC_POSITIONS crystal
Ta 0.000 0.000 0.000
Ta 0.753 0.253 0.500
Zn 0.506 0.506 0.000
Te 0.250 0.750 0.500
CELL_PARAMETERS angstrom
-1.743 2.274 4.476
1.743 -2.274 4.476
1.743 2.274 -4.476
```

No. 4
Entry from Alexandria via LeMat-Bulk: an optimized crystal structure of ZrTa2Te (GGA-PBEsol). Values from VASP.

Output
E_form (uncorrected)   0.19 eV/f.u.

```
&SYSTEM
  ibrav = 0, nat = 4, ntyp = 3
/
ATOMIC_SPECIES
Zr 91.22 Zr.upf
Ta 180.95 Ta.upf
Te 127.60 Te.upf
ATOMIC_POSITIONS crystal
Zr 0.000 0.000 0.000
Ta 0.000 0.500 0.500
Ta 0.500 0.000 0.500
Te 0.500 0.500 0.000
CELL_PARAMETERS angstrom
2.975 -3.660 0.000
2.975 3.660 0.000
0.000 0.000 3.533
```

Listing calculated volume for the structures above in their given order: 19.22, 17.80, 17.74, 19.24 Å³ per atom.
Listing Fermi-level density of states for the structures above in their given order: 0.74, 0.49, 0.70, 0.74 states/eV per atom.